Record 1
Below is a relaxed ZnAuI crystal, with properties calculated at the PBE-GGA level.

Lattice parameters (Å, degrees): 10.7860 3.9731 7.5229 90.00 90.00 90.00
With the nearest neighbours (Å) after each atom.
Space group Amm2 (No. 38)
One atom of each set of equivalent atoms:
Zn 0.1193 0.0000 0.0000 (multiplicity 4)  1 Zn 2.57, 3 Au 2.67-2.76, 2 I 2.83
Au 0.0000 0.0000 0.6884 (multiplicity 2)  6 Zn 2.67-2.76
Au 0.5000 0.0000 0.9542 (multiplicity 2)  4 I 2.90
I 0.3046 0.0000 0.4619 (multiplicity 4)  2 Zn 2.83, 2 Au 2.90

Calculated values
crystal system = orthorhombic
electronic total energy = -0.147 Ry per atom
uncorrected formation energy = 0.04 eV per atom

Record 2
Below is a relaxed Zn2Au2I crystal, with properties calculated at the PBE-GGA level.

Lattice parameters (Å, degrees): 7.6838 7.6838 3.4484 90.00 90.00 90.00
With the nearest neighbours (Å) after each atom.
Space group P4/mbm (No. 127)
One atom of each set of equivalent atoms:
Zn 0.1554 0.3446 0.0000 (multiplicity 4)  6 Au 2.82-2.86
Au 0.1344 0.6344 0.5000 (multiplicity 4)  6 Zn 2.82-2.86, 1 Au 2.92, 2 I 2.99
I 0.0000 0.0000 0.5000 (multiplicity 2)  4 Au 2.99

Calculated values
crystal system = tetragonal
electronic total energy = -0.148 Ry per atom
uncorrected formation energy = 0.11 eV per atom
excess energy over the best structure of this formula in the dataset = 146 meV per atom

Record 3
Below is a relaxed ZnAuI3 crystal, with properties calculated at the PBE-GGA level.

Lattice parameters (Å, degrees): 4.3351 8.7634 11.9613 76.07 81.37 76.65
With the nearest neighbours (Å) after each atom.
Space group P-1 (No. 2)
One atom of each set of equivalent atoms:
Zn 0.1734 0.3221 0.3084 (multiplicity 2)  4 I 2.64-2.71
Au 0.1179 0.2803 0.9651 (multiplicity 2)  2 I 2.59
I 0.1171 0.6348 0.2328 (multiplicity 2)  1 Au 2.59, 1 Zn 2.64
I 0.3400 0.7566 0.5567 (multiplicity 2)  2 Zn 2.67-2.71
I 0.3792 0.1404 0.1546 (multiplicity 2)  1 Au 2.59, 1 Zn 2.64

Calculated values
crystal system = triclinic
electronic total energy = -0.161 Ry per atom
uncorrected formation energy = -0.34 eV per atom
excess energy over the best structure of this formula in the dataset = 0 meV per atom

no.,N(E_F) (states/eV/atom)
1,0.22
2,0.54
3,0.00